Compound: TaNbH
Source: the Alexandria database
Functional: PBE-GGA
Structure: optimized geometry

As for the uncorrected energy: -25.725 eV per cell.

Cell: 2.944 2.944 4.838 Å, 90.56 90.56 70.01°
Fractional positions:
1 Ta 0.000 0.000 0.000
2 Nb 0.504 0.504 0.480
3 H 0.134 0.134 0.628



Compound: LiCr2Au2
Source: the Alexandria database
Functional: PBE-GGA
Structure: optimized geometry

The formation energy is 0.19 eV/atom. As for the uncorrected energy: -26.757 eV per cell.

Cell: 7.626 7.626 7.626 Å, 155.58 155.58 34.81°
Fractional positions:
1 Li 0.000 0.000 0.000
2 Cr 0.250 0.750 0.500
3 Cr 0.750 0.250 0.500
4 Au 0.404 0.404 0.000
5 Au 0.596 0.596 0.000



Compound: TmScCo2H6
Source: the Alexandria database
Functional: PBE-GGA
Structure: optimized geometry

As for the uncorrected energy: -49.066 eV per cell.

Cell: 5.785 5.785 5.785 Å, 43.90 43.90 43.90°
Fractional positions:
1 Tm 0.000 0.000 0.000
2 Sc 0.500 0.500 0.500
3 Co 0.213 0.213 0.213
4 Co 0.787 0.787 0.787
5 H 0.060 0.562 0.562
6 H 0.438 0.438 0.940
7 H 0.438 0.940 0.438
8 H 0.562 0.060 0.562
9 H 0.562 0.562 0.060
10 H 0.940 0.438 0.438



Compound: ZrScInFe
Source: the Alexandria database
Functional: PBE-GGA
Structure: optimized geometry

The formation energy is -0.13 eV/atom. As for the uncorrected energy: -26.604 eV per cell.

Cell: 4.799 4.799 4.799 Å, 60.00 60.00 60.00°
Fractional positions:
1 Zr 0.000 0.000 0.000
2 Sc 0.500 0.500 0.500
3 In 0.250 0.250 0.250
4 Fe 0.750 0.750 0.750



Compound: MoWAu2
Source: the Alexandria database
Functional: PBE-GGA
Structure: optimized geometry

The formation energy is 0.39 eV/atom. As for the uncorrected energy: -28.782 eV per cell.

Cell: 5.070 5.070 5.013 Å, 98.77 98.77 31.73°
Fractional positions:
1 Mo 0.000 0.000 0.000
2 W 0.500 0.500 0.500
3 Au 0.250 0.250 0.750
4 Au 0.750 0.750 0.250



Compound: Cs2CoTcI6
Source: the Alexandria database
Functional: PBE-GGA
Structure: optimized geometry

The raw formation energy is -0.461 eV per atom. As for the uncorrected energy: -33.087 eV per cell.

Cell: 8.088 8.088 8.088 Å, 119.91 119.91 90.15°
Fractional positions:
1 Cs 0.250 0.750 0.500
2 Cs 0.750 0.250 0.500
3 Co 0.000 0.000 0.000
4 Tc 0.500 0.500 0.000
5 I 0.248 0.248 0.000
6 I 0.250 0.250 0.499
7 I 0.250 0.750 0.000
8 I 0.750 0.250 0.000
9 I 0.750 0.750 0.501
10 I 0.752 0.752 0.000